LiCaLa2Tl4 | the Alexandria database | PBE-GGA | optimized geometry; calculated total energy = -26.39 eV/cell; DOS(E_F) = 0.515 states/eV/atom
1.0
-4.507 1.704 2.594
-3.551 -3.651 2.001
1.776 -0.716 9.327
Tl Ca Li La
4 1 1 2
Direct
0.873 0.873 0.380
0.378 0.378 0.866
0.622 0.622 0.134
0.127 0.127 0.620
0.000 0.000 0.000
0.500 0.500 0.500
0.753 0.753 0.742
0.247 0.247 0.258


Li2CaLaTl4 | the Alexandria database | PBE-GGA | optimized geometry; calculated total energy = -22.90 eV/cell; DOS(E_F) = 0.552 states/eV/atom
1.0
5.272 0.000 0.000
2.636 4.566 0.000
2.636 1.522 8.780
Li Ca Tl La
2 1 4 1
Direct
0.248 0.248 0.255
0.752 0.752 0.745
0.500 0.500 0.500
0.126 0.126 0.621
0.874 0.874 0.379
0.379 0.379 0.863
0.621 0.621 0.137
0.000 0.000 0.000


Li2CaLa2Tl2 | the Alexandria database | PBE-GGA | optimized geometry; calculated total energy = -22.04 eV/cell; DOS(E_F) = 0.571 states/eV/atom
1.0
-2.023 -2.301 3.854
-2.191 -4.366 -0.612
6.585 -6.465 2.743
Tl Ca La Li
2 1 2 2
Direct
0.263 0.263 0.211
0.737 0.737 0.789
0.000 0.000 0.000
0.134 0.134 0.599
0.866 0.866 0.401
0.394 0.394 0.819
0.606 0.606 0.181


Li2Ca2LaTl2 | the Alexandria database | PBE-GGA | optimized geometry; calculated total energy = -19.25 eV/cell; DOS(E_F) = 0.753 states/eV/atom
1.0
5.039 0.000 0.000
2.520 4.364 0.000
2.520 1.455 9.212
Tl Ca Li La
2 2 2 1
Direct
0.264 0.264 0.207
0.736 0.736 0.793
0.873 0.873 0.382
0.127 0.127 0.618
0.602 0.602 0.193
0.398 0.398 0.807
0.000 0.000 0.000


LiCaLaZn | the Alexandria database | PBE-GGA | optimized geometry; calculated total energy = -10.61 eV/cell; DOS(E_F) = 0.977 states/eV/atom
1.0
5.355 0.000 0.000
2.677 4.637 0.000
2.677 1.546 4.372
La Ca Zn Li
1 1 1 1
Direct
0.750 0.750 0.750
0.250 0.250 0.250
0.500 0.500 0.500
0.000 0.000 0.000


CaLa2Lu | the Alexandria database | PBE-GGA | optimized geometry; E above lowest polymorph = 0.10 eV/f.u.; DOS(E_F) = 1.300 states/eV/atom
1.0
-0.157 4.727 3.500
-4.292 0.569 3.985
1.216 -0.541 5.731
La Ca Lu
2 1 1
Direct
0.250 0.250 0.250
0.750 0.750 0.750
0.500 0.500 0.500
0.000 0.000 0.000


CaLa2Lu | the Alexandria database | PBE-GGA | optimized geometry; E above lowest polymorph = 0.00 eV/f.u.; DOS(E_F) = 1.312 states/eV/atom
1.0
4.140 0.000 0.000
0.000 4.140 0.000
0.000 0.000 8.641
La Lu Ca
2 1 1
Direct
0.000 0.000 0.224
0.000 0.000 0.776
0.500 0.500 0.000
0.500 0.500 0.500


CaLaLu | the Alexandria database | PBE-GGA | optimized geometry; E above lowest polymorph = 0.00 eV/f.u.; DOS(E_F) = 1.211 states/eV/atom
1.0
-1.795 -2.933 -1.260
2.061 2.001 -2.272
7.240 -5.261 1.934
Ca Lu La
1 1 1
Direct
0.000 0.000 0.010
0.667 0.333 0.343
0.333 0.667 0.647


CaLaLu | the Alexandria database | PBE-GGA | optimized geometry; E above lowest polymorph = 0.01 eV/f.u.; DOS(E_F) = 1.706 states/eV/atom
1.0
-0.375 -3.485 -1.228
2.280 0.753 -2.834
5.142 -0.813 6.355
Ca La Lu
1 1 1
Direct
0.995 0.995 0.990
0.679 0.679 0.357
0.326 0.326 0.653


CaLa2Lu | the Alexandria database | PBE-GGA | optimized geometry; E above lowest polymorph = 0.11 eV/f.u.; DOS(E_F) = 1.421 states/eV/atom
1.0
4.090 0.000 0.000
0.000 5.949 0.000
0.000 0.000 5.949
La Lu Ca
2 1 1
Direct
0.000 0.000 0.500
0.000 0.500 0.000
0.500 0.000 0.000
0.500 0.500 0.500


CaLaNdLu | the Alexandria database | PBE-GGA | optimized geometry; calculated total energy = -15.82 eV/cell; DOS(E_F) = 1.351 states/eV/atom
1.0
5.848 0.000 0.000
2.924 5.064 0.000
2.924 1.688 4.775
La Nd Lu Ca
1 1 1 1
Direct
0.000 0.000 0.000
0.500 0.500 0.500
0.750 0.750 0.750
0.250 0.250 0.250


CaLaPrLu | the Alexandria database | PBE-GGA | optimized geometry; calculated total energy = -15.85 eV/cell; DOS(E_F) = 1.306 states/eV/atom
1.0
5.859 0.000 0.000
2.930 5.074 0.000
2.930 1.691 4.784
Lu Ca La Pr
1 1 1 1
Direct
0.750 0.750 0.750
0.250 0.250 0.250
0.500 0.500 0.500
0.000 0.000 0.000


CaLaLuSc | the Alexandria database | PBE-GGA | optimized geometry; calculated total energy = -17.14 eV/cell; DOS(E_F) = 1.556 states/eV/atom
1.0
5.670 0.000 0.000
2.835 4.911 0.000
2.835 1.637 4.630
La Ca Lu Sc
1 1 1 1
Direct
0.750 0.750 0.750
0.500 0.500 0.500
0.250 0.250 0.250
0.000 0.000 0.000


CaLaSmLu | the Alexandria database | PBE-GGA | optimized geometry; calculated total energy = -15.73 eV/cell; DOS(E_F) = 1.490 states/eV/atom
1.0
5.828 0.000 0.000
2.914 5.047 0.000
2.914 1.682 4.759
Lu Sm La Ca
1 1 1 1
Direct
0.750 0.750 0.750
0.000 0.000 0.000
0.500 0.500 0.500
0.250 0.250 0.250


CaLaTmLu | the Alexandria database | PBE-GGA | optimized geometry; calculated total energy = -15.38 eV/cell; DOS(E_F) = 1.538 states/eV/atom
1.0
-4.560 -3.378 -1.067
-2.696 -2.670 4.352
-5.284 1.694 1.597
La Tm Lu Ca
1 1 1 1
Direct
0.000 0.000 0.000
0.500 0.500 0.500
0.750 0.750 0.750
0.250 0.250 0.250


Ca2LaMg | the Alexandria database | PBE-GGA | optimized geometry; calculated total energy = -10.59 eV/cell; DOS(E_F) = 1.200 states/eV/atom
1.0
3.814 -0.019 0.000
0.019 3.814 0.000
0.000 0.000 9.909
Ca Mg La
2 1 1
Direct
0.000 0.000 0.961
0.500 0.500 0.251
0.500 0.500 0.751
0.000 0.000 0.537


CaLa2Mg4 | the Alexandria database | PBE-GGA | optimized geometry; calculated total energy = -17.82 eV/cell; DOS(E_F) = 1.019 states/eV/atom
1.0
5.282 0.000 1.650
2.383 4.714 1.650
0.225 0.138 8.560
Mg La Ca
4 2 1
Direct
0.569 0.569 0.294
0.864 0.864 0.407
0.136 0.136 0.593
0.431 0.431 0.706
0.279 0.279 0.164
0.721 0.721 0.836
0.000 0.000 0.000


Ca3LaMg4 | the Alexandria database | PBE-GGA | optimized geometry; calculated total energy = -17.99 eV/cell; DOS(E_F) = 1.227 states/eV/atom
1.0
3.975 0.000 0.000
0.000 3.975 0.000
0.000 0.000 15.779
Mg Ca La
4 3 1
Direct
0.000 0.000 0.624
0.000 0.000 0.127
0.000 0.000 0.376
0.000 0.000 0.873
0.500 0.500 0.749
0.500 0.500 0.500
0.500 0.500 0.251
0.500 0.500 0.000


Ca2LaMg | the Alexandria database | PBE-GGA | optimized geometry; calculated total energy = -10.16 eV/cell; DOS(E_F) = 1.566 states/eV/atom
1.0
6.547 -0.003 0.000
2.543 6.033 0.000
-4.545 -3.015 3.622
Mg La Ca
1 1 2
Direct
0.750 0.250 0.500
0.250 0.750 0.500
0.000 0.000 0.000
0.500 0.500 0.000


CaLaMg2 | the Alexandria database | PBE-GGA | optimized geometry; E above lowest polymorph = 0.34 eV/f.u.; DOS(E_F) = 1.112 states/eV/atom
1.0
-2.829 5.897 -0.910
-4.474 3.689 -3.159
-4.922 0.355 3.251
Mg La Ca
2 1 1
Direct
0.725 0.725 0.727
0.024 0.024 0.020
0.271 0.271 0.201
0.480 0.480 0.551


CaLa6Mg | the Alexandria database | PBE-GGA | optimized geometry; calculated total energy = -32.94 eV/cell; DOS(E_F) = 1.502 states/eV/atom
1.0
0.762 2.295 4.534
3.574 -3.455 4.061
8.817 4.259 -0.725
Ca La Mg
1 6 1
Direct
0.000 0.500 0.500
0.503 0.237 0.757
0.748 0.620 0.884
0.252 0.380 0.116
0.497 0.763 0.243
0.754 0.129 0.364
0.246 0.871 0.636
0.000 0.000 0.000


CaLaMg | the Alexandria database | PBE-GGA | optimized geometry; E above lowest polymorph = 1.96 eV/f.u.; DOS(E_F) = 1.692 states/eV/atom
1.0
-4.407 -1.536 2.960
0.506 -3.889 3.893
-0.357 1.374 5.341
Ca La Mg
1 1 1
Direct
0.500 0.500 0.500
0.250 0.250 0.250
0.000 0.000 0.000


Ca2La2Mg3 | the Alexandria database | PBE-GGA | optimized geometry; calculated total energy = -18.95 eV/cell; DOS(E_F) = 1.151 states/eV/atom
1.0
3.962 0.000 0.526
0.000 3.819 0.000
-0.042 0.000 15.504
Mg Ca La
3 2 2
Direct
0.869 0.000 0.262
0.000 0.000 0.000
0.131 0.000 0.738
0.697 0.500 0.606
0.303 0.500 0.394
0.565 0.500 0.871
0.435 0.500 0.129


Ca2LaMg2 | the Alexandria database | PBE-GGA | optimized geometry; E above lowest polymorph = 1.29 eV/f.u.; DOS(E_F) = 1.070 states/eV/atom
1.0
4.630 0.000 0.000
0.000 4.630 0.000
2.315 2.315 8.276
Ca Mg La
2 2 1
Direct
0.393 0.393 0.214
0.607 0.607 0.786
0.250 0.750 0.500
0.750 0.250 0.500
0.000 0.000 0.000


CaLaMg14 | the Alexandria database | PBE-GGA | optimized geometry; E above lowest polymorph = 0.17 eV/f.u.; DOS(E_F) = 0.417 states/eV/atom
1.0
3.590 -5.432 0.000
3.590 5.432 0.000
0.000 0.000 10.420
Mg Ca La
14 1 1
Direct
0.843 0.699 0.000
0.146 0.854 0.259
0.327 0.673 0.000
0.895 0.563 0.500
0.804 0.196 0.000
0.624 0.376 0.754
0.146 0.854 0.741
0.301 0.157 0.000
0.643 0.879 0.232
0.121 0.357 0.768
0.624 0.376 0.246
0.437 0.105 0.500
0.121 0.357 0.232
0.643 0.879 0.768
0.924 0.076 0.500
0.402 0.598 0.500


Ca5LaMg4 | the Alexandria database | PBE-GGA | optimized geometry; calculated total energy = -21.61 eV/cell; DOS(E_F) = 1.449 states/eV/atom
1.0
3.892 0.000 0.000
0.000 3.892 0.000
0.000 0.000 21.734
Ca Mg La
5 4 1
Direct
0.500 0.500 0.688
0.500 0.500 0.876
0.500 0.500 0.124
0.500 0.500 0.312
0.500 0.500 0.500
0.000 0.000 0.407
0.000 0.000 0.217
0.000 0.000 0.783
0.000 0.000 0.593
0.000 0.000 0.000


CaLaMg | the Alexandria database | PBE-GGA | optimized geometry; E above lowest polymorph = 0.12 eV/f.u.; DOS(E_F) = 1.467 states/eV/atom
1.0
7.423 -0.154 0.164
6.500 3.588 0.165
0.923 0.227 3.735
Ca Mg La
1 1 1
Direct
0.019 0.019 0.981
0.666 0.666 0.334
0.315 0.315 0.685


CaLaMg | the Alexandria database | PBE-GGA | optimized geometry; E above lowest polymorph = 0.29 eV/f.u.; DOS(E_F) = 1.217 states/eV/atom
1.0
5.747 0.000 0.000
-2.873 4.977 0.000
0.000 0.000 3.516
Ca Mg La
1 1 1
Direct
0.000 0.000 0.915
0.333 0.667 0.746
0.667 0.333 0.340